(1)
# PBE LiInCl2, optimized geometry
data_LiInCl2
_cell_length_a 3.487
_cell_length_b 3.487
_cell_length_c 7.514
_cell_angle_alpha 90.00
_cell_angle_beta 90.00
_cell_angle_gamma 90.00
_symmetry_space_group_name_H-M 'P 4/m m m'
_symmetry_Int_Tables_number 123
_symmetry_space_group_name_Hall '-P 4 2'
loop_
_atom_site_label
_atom_site_fract_x
_atom_site_fract_y
_atom_site_fract_z
_atom_site_occupancy
Li1 0.000 0.000 0.000 1
In1 0.000 0.000 0.500 1
Cl1 0.500 0.500 0.214 1
# - formation energy (no corrections) (eV per atom) = -1.10
# - density (Mg/m³) = 3.50
# - relative energy among the computed polymorphs (eV/atom) = 0.2029
# - calculated total energy (eV per cell) = -12.76



(2)
# PBE PrHo3Tl2, optimized geometry
data_PrHo3Tl2
_cell_length_a 16.485
_cell_length_b 5.409
_cell_length_c 9.302
_cell_angle_alpha 90.00
_cell_angle_beta 119.16
_cell_angle_gamma 90.00
_symmetry_space_group_name_H-M 'C 1 2/m 1'
_symmetry_Int_Tables_number 12
_symmetry_space_group_name_Hall '-C 2y'
loop_
_atom_site_label
_atom_site_fract_x
_atom_site_fract_y
_atom_site_fract_z
_atom_site_occupancy
Pr1 0.132 0.000 0.173 1
Ho1 0.061 0.000 0.714 1
Ho2 0.115 0.500 0.539 1
Ho3 0.193 0.500 0.990 1
Tl1 0.017 0.500 0.171 1
Tl2 0.222 0.000 0.595 1
# - calculated formation energy (eV/atom) = -0.174
# - density (Mg/m³) = 9.58
# - relative energy among the computed polymorphs (eV/atom) = 0.0894
# - calculated total energy (eV per cell) = -97.17



(3)
# PBE LiScRe2, optimized geometry
data_LiScRe2
_cell_length_a 3.081
_cell_length_b 4.557
_cell_length_c 9.556
_cell_angle_alpha 90.00
_cell_angle_beta 90.00
_cell_angle_gamma 90.00
_symmetry_space_group_name_H-M 'C m m 2'
_symmetry_Int_Tables_number 35
_symmetry_space_group_name_Hall 'C 2 -2'
loop_
_atom_site_label
_atom_site_fract_x
_atom_site_fract_y
_atom_site_fract_z
_atom_site_occupancy
Li1 0.000 0.000 0.000 1
Sc1 0.000 0.500 0.296 1
Re1 0.000 0.000 0.540 1
Re2 0.000 0.500 0.762 1
# - calculated formation energy (eV/atom) = 0.248
# - density (Mg/m³) = 10.50
# - relative energy among the computed polymorphs (eV/atom) = 0.2678
# - calculated total energy (eV per cell) = -64.30



(4)
# PBE Nd4InCo, optimized geometry
data_Nd4InCo
_cell_length_a 16.875
_cell_length_b 7.210
_cell_length_c 6.061
_cell_angle_alpha 90.00
_cell_angle_beta 110.97
_cell_angle_gamma 90.00
_symmetry_space_group_name_H-M 'C 1 2/m 1'
_symmetry_Int_Tables_number 12
_symmetry_space_group_name_Hall '-C 2y'
loop_
_atom_site_label
_atom_site_fract_x
_atom_site_fract_y
_atom_site_fract_z
_atom_site_occupancy
Nd1 0.000 0.227 0.000 1
Nd2 0.118 0.246 0.618 1
Nd3 0.186 0.500 0.186 1
In1 0.195 0.000 0.195 1
Co1 0.002 0.500 0.302 1
# - calculated formation energy (eV/atom) = -0.201
# - density (Mg/m³) = 7.24
# - relative energy among the computed polymorphs (eV/atom) = 0.0328
# - calculated total energy (eV per cell) = -120.48



(5)
# PBE BaLa2Pb, optimized geometry
data_BaLa2Pb
_cell_length_a 4.356
_cell_length_b 4.356
_cell_length_c 8.260
_cell_angle_alpha 90.00
_cell_angle_beta 90.00
_cell_angle_gamma 90.00
_symmetry_space_group_name_H-M 'P 4 m m'
_symmetry_Int_Tables_number 99
_symmetry_space_group_name_Hall 'P 4 -2'
loop_
_atom_site_label
_atom_site_fract_x
_atom_site_fract_y
_atom_site_fract_z
_atom_site_occupancy
Ba1 0.000 0.000 0.000 1
La1 0.000 0.000 0.555 1
La2 0.500 0.500 0.352 1
Pb1 0.500 0.500 0.744 1
# - calculated formation energy (eV/atom) = -0.238
# - density (Mg/m³) = 6.59
# - calculated total energy (eV per cell) = -16.44



(6)
# PBE SrBiBO4, optimized geometry
data_SrBiBO4
_cell_length_a 5.905
_cell_length_b 9.101
_cell_length_c 7.176
_cell_angle_alpha 90.00
_cell_angle_beta 90.00
_cell_angle_gamma 90.00
_symmetry_space_group_name_H-M 'C m c m'
_symmetry_Int_Tables_number 63
_symmetry_space_group_name_Hall '-C 2c 2'
loop_
_atom_site_label
_atom_site_fract_x
_atom_site_fract_y
_atom_site_fract_z
_atom_site_occupancy
Sr1 0.000 0.000 0.000 1
Bi1 0.000 0.330 0.250 1
B1 0.000 0.361 0.750 1
O1 0.000 0.273 0.582 1
O2 0.205 0.473 0.750 1
# - formation energy (no corrections) (eV per atom) = -2.09
# - density (Mg/m³) = 6.40
# - calculated total energy (eV per cell) = -186.84